First-principles (GGA-PBEsol) data for an optimized crystal structure of LiOsRh, as listed in Alexandria via LeMat-Bulk.

energy: -82.53 eV per cell
calculated formation energy: 1.689 eV/f.u.

abc: 5.661 5.661 5.661
angles: 90.00 90.00 90.00
Fractional coordinates of all 12 atoms:
Li 0.000 0.000 0.000
Li 0.000 0.500 0.500
Li 0.500 0.000 0.500
Li 0.500 0.500 0.000
Os 0.000 0.000 0.500
Os 0.000 0.500 0.000
Os 0.500 0.000 0.000
Os 0.500 0.500 0.500
Rh 0.250 0.250 0.750
Rh 0.250 0.750 0.250
Rh 0.750 0.250 0.250
Rh 0.750 0.750 0.750

=====

First-principles (GGA-PBEsol) data for an optimized crystal structure of CrNi2, as listed in Alexandria via LeMat-Bulk.

energy: -45.38 eV per cell
calculated formation energy: -0.131 eV/f.u.

abc: 2.436 3.524 7.309
angles: 90.00 90.00 90.00
Fractional coordinates of all 6 atoms:
Cr 0.000 0.000 0.000
Cr 0.500 0.500 0.500
Ni 0.000 0.000 0.334
Ni 0.000 0.000 0.666
Ni 0.500 0.500 0.166
Ni 0.500 0.500 0.834

=====

First-principles (GGA-PBEsol) data for an optimized crystal structure of SiRh2Cl, as listed in Alexandria via LeMat-Bulk.

energy: -25.47 eV per cell
energy above the lowest structure with this stoichiometry: 0 meV per atom
ΔE_f (raw): -0.36 eV per atom

abc: 2.892 2.892 6.717
angles: 90.00 90.00 90.00
Fractional coordinates of all 4 atoms:
Si 0.000 0.000 0.000
Rh 0.500 0.500 0.203
Rh 0.500 0.500 0.797
Cl 0.000 0.000 0.500

=====

First-principles (GGA-PBEsol) data for an optimized crystal structure of ZnSi2Cl, as listed in Alexandria via LeMat-Bulk.

energy: -13.51 eV per cell
energy above the lowest structure with this stoichiometry: 174 meV per atom
ΔE_f (raw): 0.39 eV per atom

abc: 4.796 4.796 2.853
angles: 90.00 90.00 90.00
Fractional coordinates of all 4 atoms:
Zn 0.000 0.000 0.000
Si 0.000 0.500 0.500
Si 0.500 0.000 0.500
Cl 0.500 0.500 0.000

=====

First-principles (GGA-PBEsol) data for an optimized crystal structure of ZrHg2As, as listed in Alexandria via LeMat-Bulk.

energy: -32.20 eV per cell
calculated formation energy: -0.770 eV/f.u.

abc: 4.093 4.332 9.104
angles: 90.00 90.00 90.00
Fractional coordinates of all 8 atoms:
Zr 0.000 0.000 0.000
Zr 0.500 0.500 0.500
Hg 0.000 0.000 0.489
Hg 0.000 0.500 0.246
Hg 0.500 0.000 0.746
Hg 0.500 0.500 0.989
As 0.000 0.500 0.732
As 0.500 0.000 0.232

=====

First-principles (GGA-PBEsol) data for an optimized crystal structure of CaTl2Ag, as listed in Alexandria via LeMat-Bulk.

energy: -23.00 eV per cell
calculated formation energy: -0.795 eV/f.u.

abc: 10.870 3.915 5.332
angles: 90.00 119.23 90.00
Fractional coordinates of all 8 atoms:
Ca 0.000 0.000 0.000
Ca 0.500 0.500 0.000
Tl 0.226 0.000 0.726
Tl 0.274 0.500 0.274
Tl 0.726 0.500 0.726
Tl 0.774 0.000 0.274
Ag 0.000 0.500 0.500
Ag 0.500 0.000 0.500

=====

| no. | magnetization (μB per cell) |
| --- | --- |
| 1 | 0.000 |
| 2 | 0.001 |
| 3 | 0.000 |
| 4 | 0.000 |
| 5 | 0.000 |
| 6 | 0.000 |